# 1
The following is a GGA-PBEsol calculation of crystalline Cr2BiF at its relaxed geometry, from Alexandria via LeMat-Bulk.

Cell lengths 4.619, 4.619, 4.619 Å; angles 60.00, 60.00, 60.00 degrees
Sites, in units of the cell vectors:
F 0.000 0.000 0.000
Bi 0.500 0.500 0.500
Cr 0.750 0.750 0.750
Cr 0.250 0.250 0.250

Calculated values
M_tot = 8.00 μB per cell
symmetry = Fm-3m
N(E_F) = 1.22 states/eV/f.u.
total energy = -26.5 eV for the cell shown
ρ = 7.9 Mg/m³
ΔE_f (raw) = 0.0599 eV/atom



# 2
The following is a GGA-PBEsol calculation of crystalline CaAuN2O at its relaxed geometry, from Alexandria via LeMat-Bulk.

Cell lengths 3.927, 3.927, 4.342 Å; angles 90.00, 90.00, 90.00 degrees
Sites, in units of the cell vectors:
Ca 0.500 0.500 0.500
N 0.500 0.000 0.000
N 0.000 0.500 0.000
O 0.000 0.000 0.500
Au 0.000 0.000 0.000

Calculated values
M_tot = 2.10 μB per cell
symmetry = P4/mmm
N(E_F) = 2.97 states/eV/f.u.
total energy = -26.1 eV for the cell shown
ρ = 7.0 Mg/m³
ΔE_f (raw) = 0.4501 eV/atom



# 3
The following is a GGA-PBEsol calculation of crystalline ZrMo2Se at its relaxed geometry, from Alexandria via LeMat-Bulk.

Cell lengths 3.197, 4.379, 5.582 Å; angles 112.59, 105.98, 91.61 degrees
Sites, in units of the cell vectors:
Zr 0.000 0.500 0.000
Mo 0.000 0.000 0.500
Mo 0.500 0.500 0.500
Se 0.500 0.000 0.000

Calculated values
M_tot = 0.00 μB per cell
symmetry = C2/m
N(E_F) = 3.54 states/eV/f.u.
total energy = -36.3 eV for the cell shown
ρ = 8.8 Mg/m³
ΔE_f (raw) = 0.0444 eV/atom